No. 1
The following is a DFT calculation (PBE) of crystalline SmTlInHg at its relaxed geometry.

Output
- symmetry = F-43m
- energy of formation (eV per formula unit) = -0.9
- E (eV for the cell shown) = -11.07

Cell lengths 5.3260, 5.3260, 5.3260 Å; angles 60.00, 60.00, 60.00 degrees
Element x y z (fractional)
1 In 0.7500 0.7500 0.7500
2 Tl 0.0000 0.0000 0.0000
3 Sm 0.2500 0.2500 0.2500
4 Hg 0.5000 0.5000 0.5000



No. 2
The following is a DFT calculation (PBE) of crystalline Sm2TmIn3Hg6 at its relaxed geometry.

Output
- symmetry = P4/mmm
- energy of formation (eV per formula unit) = -0.9
- E (eV for the cell shown) = -24.79

Cell lengths 4.2608, 4.2608, 20.2456 Å; angles 90.00, 90.00, 90.00 degrees
Element x y z (fractional)
1 Hg 0.0000 0.5000 0.3900
2 Hg 0.5000 0.0000 0.3900
3 Hg 0.0000 0.0000 0.8622
4 Hg 0.5000 0.0000 0.6100
5 Hg 0.0000 0.0000 0.1378
6 Hg 0.0000 0.5000 0.6100
7 In 0.0000 0.0000 0.7185
8 In 0.0000 0.0000 0.0000
9 In 0.0000 0.0000 0.2815
10 Sm 0.5000 0.5000 0.7809
11 Sm 0.5000 0.5000 0.2191
12 Tm 0.5000 0.5000 0.5000



No. 3
The following is a DFT calculation (PBE) of crystalline SmTmInHg at its relaxed geometry.

Output
- symmetry = F-43m
- energy of formation (eV per formula unit) = -1.8
- E (eV for the cell shown) = -14.04

Cell lengths 5.3264, 5.3264, 5.3264 Å; angles 60.00, 60.00, 60.00 degrees
Element x y z (fractional)
1 Sm 0.0000 0.0000 0.0000
2 Hg 0.7500 0.7500 0.7500
3 Tm 0.5000 0.5000 0.5000
4 In 0.2500 0.2500 0.2500



No. 4
The following is a DFT calculation (PBE) of crystalline Sm2YIn3Hg6 at its relaxed geometry.

Output
- symmetry = P4/mmm
- energy of formation (eV per formula unit) = -1.0
- E (eV for the cell shown) = -26.91

Cell lengths 4.2657, 4.2657, 20.3406 Å; angles 90.00, 90.00, 90.00 degrees
Element x y z (fractional)
1 Sm 0.5000 0.5000 0.7823
2 Sm 0.5000 0.5000 0.2177
3 Hg 0.0000 0.0000 0.1370
4 Hg 0.0000 0.5000 0.6123
5 Hg 0.0000 0.5000 0.3877
6 Hg 0.5000 0.0000 0.6123
7 Hg 0.5000 0.0000 0.3877
8 Hg 0.0000 0.0000 0.8630
9 In 0.0000 0.0000 0.7202
10 In 0.0000 0.0000 0.2798
11 In 0.0000 0.0000 0.0000
12 Y 0.5000 0.5000 0.5000



No. 5
The following is a DFT calculation (PBE) of crystalline SmZrInHg at its relaxed geometry.

Output
- symmetry = F-43m
- energy of formation (eV per formula unit) = -1.1
- E (eV for the cell shown) = -17.40

Cell lengths 5.1950, 5.1950, 5.1950 Å; angles 60.00, 60.00, 60.00 degrees
Element x y z (fractional)
1 Sm 0.0000 0.0000 0.0000
2 In 0.2500 0.2500 0.2500
3 Zr 0.5000 0.5000 0.5000
4 Hg 0.7500 0.7500 0.7500



No. 6
The following is a DFT calculation (PBE) of crystalline In5Sn4Hg at its relaxed geometry.

Output
- symmetry = P4/mmm
- energy of formation (eV per formula unit) = 0.3
- E (eV for the cell shown) = -29.67

Cell lengths 3.8526, 3.8526, 18.3745 Å; angles 90.00, 90.00, 90.00 degrees
Element x y z (fractional)
1 In 0.5000 0.5000 0.9022
2 In 0.5000 0.5000 0.5000
3 In 0.5000 0.5000 0.0978
4 In 0.5000 0.5000 0.2992
5 In 0.5000 0.5000 0.7008
6 Sn 0.0000 0.0000 0.6048
7 Sn 0.0000 0.0000 0.3952
8 Sn 0.0000 0.0000 0.7984
9 Sn 0.0000 0.0000 0.2016
10 Hg 0.0000 0.0000 0.0000



No. 7
The following is a DFT calculation (PBE) of crystalline In6SnHg12 at its relaxed geometry.

Output
- symmetry = R-3
- energy of formation (eV per formula unit) = 0.8
- E (eV for the cell shown) = -23.29

Cell lengths 8.0787, 8.0787, 8.0787 Å; angles 86.50, 86.50, 86.50 degrees
Element x y z (fractional)
1 Hg 0.1258 0.1219 0.4054
2 Hg 0.4724 0.1954 0.5626
3 Hg 0.5626 0.4724 0.1954
4 Hg 0.1219 0.4054 0.1258
5 Hg 0.8046 0.4374 0.5276
6 Hg 0.8742 0.8781 0.5946
7 Hg 0.1954 0.5626 0.4724
8 Hg 0.5276 0.8046 0.4374
9 Hg 0.8781 0.5946 0.8742
10 Hg 0.4374 0.5276 0.8046
11 Hg 0.5946 0.8742 0.8781
12 Hg 0.4054 0.1258 0.1219
13 In 0.2951 0.7573 0.1316
14 In 0.2427 0.8684 0.7049
15 In 0.7049 0.2427 0.8684
16 In 0.8684 0.7049 0.2427
17 In 0.7573 0.1316 0.2951
18 In 0.1316 0.2951 0.7573
19 Sn 0.0000 0.0000 0.0000



No. 8
The following is a DFT calculation (PBE) of crystalline In4Sn2Hg3 at its relaxed geometry.

Output
- symmetry = C2/m
- energy of formation (eV per formula unit) = 0.5
- E (eV for the cell shown) = -19.39

Cell lengths 4.3724, 7.3665, 10.7495 Å; angles 127.70, 90.00, 107.26 degrees
Element x y z (fractional)
1 In 0.1217 0.2434 0.4979
2 In 0.6901 0.3803 0.0650
3 In 0.3099 0.6197 0.9350
4 In 0.8783 0.7566 0.5021
5 Hg 0.0000 0.0000 0.0000
6 Hg 0.3977 0.7954 0.7252
7 Hg 0.6023 0.2046 0.2748
8 Sn 0.6090 0.2179 0.7074
9 Sn 0.3910 0.7821 0.2926



No. 9
The following is a DFT calculation (PBE) of crystalline In3SnHg5 at its relaxed geometry.

Output
- symmetry = P-1
- energy of formation (eV per formula unit) = 0.2
- E (eV for the cell shown) = -27.11

Cell lengths 6.5212, 10.0456, 8.7634 Å; angles 109.56, 92.94, 111.21 degrees
Element x y z (fractional)
1 Hg 0.5781 0.3361 0.2202
2 Hg 0.2503 0.3389 0.8919
3 Hg 0.7482 0.0049 0.6810
4 Hg 0.2518 0.9951 0.3190
5 Hg 0.4219 0.6639 0.7798
6 Hg 0.5941 0.6607 0.4455
7 Hg 0.4059 0.3393 0.5545
8 Hg 0.1037 0.6719 0.4510
9 Hg 0.8963 0.3281 0.5490
10 Hg 0.7497 0.6611 0.1081
11 Sn 0.5000 0.0000 0.0000
12 Sn 0.0000 0.0000 0.0000
13 In 0.0780 0.3381 0.2295
14 In 0.7503 0.9851 0.3247
15 In 0.7484 0.3370 0.8871
16 In 0.9220 0.6619 0.7705
17 In 0.2516 0.6630 0.1129
18 In 0.2497 0.0149 0.6753



No. 10
The following is a DFT calculation (PBE) of crystalline In2SnHg at its relaxed geometry.

Output
- symmetry = P4/mmm
- energy of formation (eV per formula unit) = 0.0
- E (eV for the cell shown) = -9.73

Cell lengths 3.4325, 3.4325, 9.0855 Å; angles 90.00, 90.00, 90.00 degrees
Element x y z (fractional)
1 In 0.0000 0.0000 0.7537
2 In 0.0000 0.0000 0.2463
3 Sn 0.5000 0.5000 0.5000
4 Hg 0.5000 0.5000 0.0000



No. 11
The following is a DFT calculation (PBE) of crystalline In6Sn2Hg at its relaxed geometry.

Output
- symmetry = C2/m
- energy of formation (eV per formula unit) = 0.1
- E (eV for the cell shown) = -24.63

Cell lengths 5.4265, 5.3512, 9.7872 Å; angles 92.59, 90.00, 120.47 degrees
Element x y z (fractional)
1 In 0.6676 0.3351 0.9382
2 In 0.0020 0.0041 0.8279
3 In 0.9980 0.9959 0.1721
4 In 0.3332 0.6664 0.3971
5 In 0.3324 0.6649 0.0618
6 In 0.6668 0.3336 0.6029
7 Hg 0.0000 0.0000 0.5000
8 Sn 0.3344 0.6688 0.7269
9 Sn 0.6656 0.3312 0.2731



No. 12
The following is a DFT calculation (PBE) of crystalline In5Sn2Hg at its relaxed geometry.

Output
- symmetry = Pbam
- energy of formation (eV per formula unit) = 0.2
- E (eV for the cell shown) = -43.69

Cell lengths 4.3174, 7.0495, 14.0969 Å; angles 90.00, 90.00, 90.00 degrees
Element x y z (fractional)
1 In 0.9996 0.5072 0.7471
2 In 0.9996 0.0072 0.7529
3 In 0.5004 0.7374 0.1221
4 In 0.0004 0.9928 0.2471
5 In 0.4997 0.7626 0.6221
6 In 0.0004 0.4928 0.2529
7 In 0.0000 0.5000 0.5000
8 In 0.4996 0.2626 0.8779
9 In 0.5003 0.2374 0.3779
10 In 0.0000 0.0000 0.0000
11 Hg 0.0000 0.5000 0.0000
12 Hg 0.0000 0.0000 0.5000
13 Sn 0.4998 0.7495 0.8753
14 Sn 0.5002 0.7505 0.3753
15 Sn 0.5002 0.2505 0.1247
16 Sn 0.4998 0.2495 0.6247



No. 13
The following is a DFT calculation (PBE) of crystalline In2SnHg3 at its relaxed geometry.

Output
- symmetry = C2/m
- energy of formation (eV per formula unit) = 0.1
- E (eV for the cell shown) = -20.62

Cell lengths 5.6325, 5.7506, 20.8764 Å; angles 65.94, 33.66, 60.68 degrees
Element x y z (fractional)
1 Hg 0.1124 0.3346 0.7402
2 Hg 0.8876 0.6654 0.2598
3 Hg 0.2176 0.0000 0.2605
4 Hg 0.4470 0.6654 0.7402
5 Hg 0.5530 0.3346 0.2598
6 Hg 0.7824 0.0000 0.7395
7 In 0.0000 0.0000 0.5000
8 In 0.6682 0.6636 0.5000
9 In 0.0000 0.0000 0.0000
10 In 0.3318 0.3364 0.5000
11 Sn 0.3322 0.3355 0.0000
12 Sn 0.6678 0.6645 0.0000



No. 14
The following is a DFT calculation (PBE) of crystalline In4Sn3Hg2 at its relaxed geometry.

Output
- symmetry = Cmce
- energy of formation (eV per formula unit) = 0.6
- E (eV for the cell shown) = -45.93

Cell lengths 8.8529, 7.2012, 9.3640 Å; angles 90.00, 118.21, 90.00 degrees
Element x y z (fractional)
1 Sn 0.0092 0.7500 0.5184
2 Sn 0.4908 0.2500 0.4816
3 Sn 0.9908 0.2500 0.4816
4 Sn 0.5000 0.5000 0.0000
5 Sn 0.5092 0.7500 0.5184
6 Sn 0.0000 0.0000 0.0000
7 In 0.1815 0.9688 0.3630
8 In 0.6960 0.7500 0.8920
9 In 0.8185 0.0312 0.6370
10 In 0.8040 0.2500 0.1080
11 In 0.6815 0.5312 0.3630
12 In 0.3040 0.2500 0.1080
13 In 0.3185 0.4688 0.6370
14 In 0.1960 0.7500 0.8920
15 Hg 0.8973 0.4509 0.7947
16 Hg 0.3973 0.0491 0.7947
17 Hg 0.6027 0.9509 0.2053
18 Hg 0.1027 0.5491 0.2053



No. 15
The following is a DFT calculation (PBE) of crystalline In3SnHg at its relaxed geometry.

Output
- symmetry = Pm-3m
- energy of formation (eV per formula unit) = 1.9
- E (eV for the cell shown) = -10.58

Cell lengths 5.7747, 5.7747, 5.7747 Å; angles 90.00, 90.00, 90.00 degrees
Element x y z (fractional)
1 In 0.0000 0.0000 0.5000
2 In 0.0000 0.5000 0.0000
3 In 0.5000 0.0000 0.0000
4 Hg 0.5000 0.5000 0.5000
5 Sn 0.0000 0.0000 0.0000



No. 16
The following is a DFT calculation (PBE) of crystalline In4SnHg8 at its relaxed geometry.

Output
- symmetry = Cm
- energy of formation (eV per formula unit) = 0.5
- E (eV for the cell shown) = -16.86

Cell lengths 3.3779, 10.1259, 10.9950 Å; angles 86.56, 81.16, 80.40 degrees
Element x y z (fractional)
1 Hg 0.1523 0.9804 0.7151
2 Hg 0.8711 0.2640 0.9938
3 Hg 0.1609 0.7381 0.9400
4 Hg 0.9140 0.6180 0.5540
5 Hg 0.8795 0.0231 0.2180
6 Hg 0.1152 0.3882 0.3814
7 Hg 0.5302 0.7173 0.2223
8 Hg 0.5017 0.2854 0.7113
9 In 0.6928 0.1398 0.4746
10 In 0.3386 0.8647 0.4582
11 In 0.8307 0.5207 0.8179
12 In 0.2012 0.4814 0.1161
13 Sn 0.5162 0.0010 0.9666



No. 17
The following is a DFT calculation (PBE) of crystalline In6SnHg2 at its relaxed geometry.

Output
- symmetry = P-6m2
- energy of formation (eV per formula unit) = 0.2
- E (eV for the cell shown) = -20.88

Cell lengths 3.3774, 3.3774, 24.6640 Å; angles 90.00, 90.00, 120.00 degrees
Element x y z (fractional)
1 In 0.3333 0.6667 0.4379
2 In 0.3333 0.6667 0.5621
3 In 0.6667 0.3333 0.8879
4 In 0.6667 0.3333 0.1121
5 In 0.3333 0.6667 0.2247
6 In 0.3333 0.6667 0.7753
7 Sn 0.3333 0.6667 0.0000
8 Hg 0.6667 0.3333 0.6687
9 Hg 0.6667 0.3333 0.3313



No. 18
The following is a DFT calculation (PBE) of crystalline In4SnHg2 at its relaxed geometry.

Output
- symmetry = Cmmm
- energy of formation (eV per formula unit) = 0.2
- E (eV for the cell shown) = -15.40

Cell lengths 3.3997, 3.4903, 16.1627 Å; angles 96.20, 90.00, 90.00 degrees
Element x y z (fractional)
1 In 0.5000 0.0711 0.1422
2 In 0.5000 0.9289 0.8578
3 In 0.0000 0.6430 0.2861
4 In 0.0000 0.3570 0.7139
5 Sn 0.0000 0.5000 0.0000
6 Hg 0.5000 0.2110 0.4220
7 Hg 0.5000 0.7890 0.5780



No. 19
The following is a DFT calculation (PBE) of crystalline In6Sn2Hg at its relaxed geometry.

Output
- symmetry = C2/m
- energy of formation (eV per formula unit) = 0.8
- E (eV for the cell shown) = -23.95

Cell lengths 5.3670, 7.4416, 7.4416 Å; angles 60.02, 90.07, 90.07 degrees
Element x y z (fractional)
1 Sn 0.8086 0.6670 0.6670
2 Sn 0.1914 0.3330 0.3330
3 In 0.6963 0.1887 0.6244
4 In 0.6947 0.1877 0.1877
5 In 0.3037 0.8113 0.3756
6 In 0.3053 0.8123 0.8123
7 In 0.3037 0.3756 0.8113
8 In 0.6963 0.6244 0.1887
9 Hg 0.0000 0.0000 0.0000



No. 20
The following is a DFT calculation (PBE) of crystalline In3SnHg at its relaxed geometry.

Output
- symmetry = Pmmn
- energy of formation (eV per formula unit) = 0.4
- E (eV for the cell shown) = -24.27

Cell lengths 5.4394, 6.3407, 8.5955 Å; angles 90.00, 89.98, 90.00 degrees
Element x y z (fractional)
1 In 0.7500 0.4921 0.5902
2 In 0.2501 0.7500 0.0379
3 In 0.7499 0.2500 0.9621
4 In 0.2500 0.5079 0.4098
5 In 0.7500 0.0079 0.5902
6 In 0.2500 0.9921 0.4098
7 Sn 0.7502 0.7500 0.8909
8 Sn 0.2498 0.2500 0.1091
9 Hg 0.7501 0.7500 0.2612
10 Hg 0.2499 0.2500 0.7388